No. 1
Here is a relaxed structure of SrTlCu2 from the Alexandria database. Energies are from PBEsol.

The structure in CIF format:
```
data_SrTlCu2
_chemical_formula_sum 'Sr1 Tl1 Cu2'
_space_group_name_H-M_alt 'P 1'
_space_group_IT_number 1
_space_group_name_Hall 'P 1'
_cell_length_a 4.912
_cell_length_b 4.912
_cell_length_c 4.912
_cell_angle_alpha 60.00
_cell_angle_beta 60.00
_cell_angle_gamma 60.00
loop_
_atom_site_label
_atom_site_fract_x
_atom_site_fract_y
_atom_site_fract_z
Sr1 0.500 0.500 0.500
Tl1 0.250 0.250 0.250
Cu1 0.000 0.000 0.000
Cu2 0.750 0.750 0.750
```

Calculated values
formation energy from the elements = 87 kJ/mol of formula units

---

No. 2
Here is a relaxed structure of SrTlCu2 from the Alexandria database. Energies are from PBEsol.

The structure in CIF format:
```
data_SrTlCu2
_chemical_formula_sum 'Sr1 Tl1 Cu2'
_space_group_name_H-M_alt 'P 1'
_space_group_IT_number 1
_space_group_name_Hall 'P 1'
_cell_length_a 3.594
_cell_length_b 3.602
_cell_length_c 6.642
_cell_angle_alpha 90.00
_cell_angle_beta 90.00
_cell_angle_gamma 90.00
loop_
_atom_site_label
_atom_site_fract_x
_atom_site_fract_y
_atom_site_fract_z
Cu1 0.000 0.000 0.195
Cu2 0.000 0.000 0.805
Tl1 0.500 0.500 0.000
Sr1 0.500 0.500 0.500
```

Calculated values
formation energy from the elements = 57 kJ/mol of formula units